# 1
The following is a DFT calculation (PBE) of a geometry-optimized Ac2TlSb3Pd6 structure.

Cell: 4.410 4.410 16.408 Å, 90.00 90.00 90.00°
Positions (direct):
Ac 0.000 0.000 0.209
Ac 0.000 0.000 0.791
Tl 0.000 0.000 0.500
Sb 0.500 0.500 0.000
Sb 0.500 0.500 0.309
Sb 0.500 0.500 0.691
Pd 0.000 0.500 0.395
Pd 0.000 0.500 0.605
Pd 0.500 0.000 0.395
Pd 0.500 0.000 0.605
Pd 0.500 0.500 0.152
Pd 0.500 0.500 0.848

* E_form (uncorrected): -0.490 eV per atom



# 2
The following is a DFT calculation (PBE) of a geometry-optimized NpH2Br6 structure.

Cell: 6.321 7.951 13.653 Å, 90.00 108.91 90.00°
Positions (direct):
Np 0.000 0.000 0.000
Np 0.000 0.500 0.500
H 0.419 0.118 0.868
H 0.419 0.382 0.368
H 0.581 0.618 0.632
H 0.581 0.882 0.132
Br 0.134 0.744 0.909
Br 0.134 0.756 0.409
Br 0.222 0.232 0.909
Br 0.222 0.268 0.409
Br 0.399 0.525 0.679
Br 0.399 0.975 0.179
Br 0.601 0.025 0.821
Br 0.601 0.475 0.321
Br 0.778 0.732 0.591
Br 0.778 0.768 0.091
Br 0.866 0.244 0.591
Br 0.866 0.256 0.091

* E: -72.98 eV/cell